Material: TbTmLu
Method: DFT, PBE-GGA
State: optimized geometry

Cell lengths 5.5417, 5.5417, 3.3998 Å; angles 90.00, 90.00, 120.00 degrees
Element x y z (fractional)
Tb (0.0000, 0.0000, 0.0000)
Tm (0.6667, 0.3333, 0.5000)
Lu (0.3333, 0.6667, 0.5000)

Output
- DOS(E_F) (states/eV/cell) = 5.26

=====

Material: TbTm2Lu
Method: DFT, PBE-GGA
State: optimized geometry

Cell lengths 3.4974, 3.4974, 34.1217 Å; angles 90.00, 90.00, 120.00 degrees
Element x y z (fractional)
Tb (0.0000, 0.0000, 0.0000)
Tb (0.3333, 0.6667, 0.6667)
Tb (0.6667, 0.3333, 0.3333)
Tm (0.0000, 0.0000, 0.2491)
Tm (0.0000, 0.0000, 0.7509)
Tm (0.3333, 0.6667, 0.4176)
Tm (0.3333, 0.6667, 0.9157)
Tm (0.6667, 0.3333, 0.0843)
Tm (0.6667, 0.3333, 0.5824)
Lu (0.0000, 0.0000, 0.5000)
Lu (0.3333, 0.6667, 0.1667)
Lu (0.6667, 0.3333, 0.8333)

Output
- DOS(E_F) (states/eV/cell) = 18.74

=====

Material: TbYTmLu
Method: DFT, PBE-GGA
State: optimized geometry

Cell lengths 7.9492, 7.9492, 7.9492 Å; angles 90.00, 90.00, 90.00 degrees
Element x y z (fractional)
Tb (0.0000, 0.0000, 0.0000)
Tb (0.0000, 0.5000, 0.5000)
Tb (0.5000, 0.0000, 0.5000)
Tb (0.5000, 0.5000, 0.0000)
Y (0.0000, 0.0000, 0.5000)
Y (0.0000, 0.5000, 0.0000)
Y (0.5000, 0.0000, 0.0000)
Y (0.5000, 0.5000, 0.5000)
Tm (0.2500, 0.2500, 0.2500)
Tm (0.2500, 0.7500, 0.7500)
Tm (0.7500, 0.2500, 0.7500)
Tm (0.7500, 0.7500, 0.2500)
Lu (0.2500, 0.2500, 0.7500)
Lu (0.2500, 0.7500, 0.2500)
Lu (0.7500, 0.2500, 0.2500)
Lu (0.7500, 0.7500, 0.7500)

Output
- DOS(E_F) (states/eV/cell) = 34.71

=====

Material: TbTmLuZn
Method: DFT, PBE-GGA
State: optimized geometry

Cell lengths 7.4549, 7.4549, 7.4549 Å; angles 90.00, 90.00, 90.00 degrees
Element x y z (fractional)
Tb (0.0000, 0.0000, 0.0000)
Tb (0.0000, 0.5000, 0.5000)
Tb (0.5000, 0.0000, 0.5000)
Tb (0.5000, 0.5000, 0.0000)
Tm (0.0000, 0.0000, 0.5000)
Tm (0.0000, 0.5000, 0.0000)
Tm (0.5000, 0.0000, 0.0000)
Tm (0.5000, 0.5000, 0.5000)
Lu (0.2500, 0.2500, 0.7500)
Lu (0.2500, 0.7500, 0.2500)
Lu (0.7500, 0.2500, 0.2500)
Lu (0.7500, 0.7500, 0.7500)
Zn (0.2500, 0.2500, 0.2500)
Zn (0.2500, 0.7500, 0.7500)
Zn (0.7500, 0.2500, 0.7500)
Zn (0.7500, 0.7500, 0.2500)

Output
- DOS(E_F) (states/eV/cell) = 16.01

=====

Material: Tb2LuU
Method: DFT, PBE-GGA
State: optimized geometry

Cell lengths 3.2825, 3.2825, 36.4089 Å; angles 90.00, 90.00, 120.00 degrees
Element x y z (fractional)
Tb (0.0000, 0.0000, 0.0878)
Tb (0.0000, 0.0000, 0.9122)
Tb (0.3333, 0.6667, 0.5789)
Tb (0.3333, 0.6667, 0.7545)
Tb (0.6667, 0.3333, 0.2455)
Tb (0.6667, 0.3333, 0.4211)
Lu (0.0000, 0.0000, 0.5000)
Lu (0.3333, 0.6667, 0.1667)
Lu (0.6667, 0.3333, 0.8333)
U (0.0000, 0.0000, 0.0000)
U (0.3333, 0.6667, 0.6667)
U (0.6667, 0.3333, 0.3333)

Output
- DOS(E_F) (states/eV/cell) = 23.51

=====

Material: TbLuV4
Method: DFT, PBE-GGA
State: optimized geometry

Cell lengths 5.3581, 5.3581, 5.3581 Å; angles 60.00, 60.00, 60.00 degrees
Element x y z (fractional)
Tb (0.0000, 0.0000, 0.0000)
Lu (0.7500, 0.7500, 0.7500)
V (0.3756, 0.3756, 0.3756)
V (0.3756, 0.3756, 0.8731)
V (0.3756, 0.8731, 0.3756)
V (0.8731, 0.3756, 0.3756)

Output
- DOS(E_F) (states/eV/cell) = 16.39

=====

Material: Tb2LuV
Method: DFT, PBE-GGA
State: optimized geometry

Cell lengths 3.4433, 3.4433, 31.4367 Å; angles 90.00, 90.00, 120.00 degrees
Element x y z (fractional)
Tb (0.0000, 0.0000, 0.2386)
Tb (0.0000, 0.0000, 0.7614)
Tb (0.3333, 0.6667, 0.4281)
Tb (0.3333, 0.6667, 0.9053)
Tb (0.6667, 0.3333, 0.0947)
Tb (0.6667, 0.3333, 0.5719)
Lu (0.0000, 0.0000, 0.0000)
Lu (0.3333, 0.6667, 0.6667)
Lu (0.6667, 0.3333, 0.3333)
V (0.0000, 0.0000, 0.5000)
V (0.3333, 0.6667, 0.1667)
V (0.6667, 0.3333, 0.8333)

Output
- DOS(E_F) (states/eV/cell) = 15.30

=====

Material: TbLu2V
Method: DFT, PBE-GGA
State: optimized geometry

Cell lengths 3.3982, 3.3982, 31.2732 Å; angles 90.00, 90.00, 120.00 degrees
Element x y z (fractional)
Tb (0.0000, 0.0000, 0.0000)
Tb (0.3333, 0.6667, 0.6667)
Tb (0.6667, 0.3333, 0.3333)
Lu (0.0000, 0.0000, 0.2376)
Lu (0.0000, 0.0000, 0.7624)
Lu (0.3333, 0.6667, 0.4291)
Lu (0.3333, 0.6667, 0.9043)
Lu (0.6667, 0.3333, 0.0957)
Lu (0.6667, 0.3333, 0.5709)
V (0.0000, 0.0000, 0.5000)
V (0.3333, 0.6667, 0.1667)
V (0.6667, 0.3333, 0.8333)

Output
- DOS(E_F) (states/eV/cell) = 16.14

=====

Material: TbLu2V
Method: DFT, PBE-GGA
State: optimized geometry

Cell lengths 3.5322, 3.5322, 8.4584 Å; angles 90.00, 90.00, 90.00 degrees
Element x y z (fractional)
Tb (0.0000, 0.0000, 0.0000)
Lu (0.5000, 0.5000, 0.3012)
Lu (0.5000, 0.5000, 0.6988)
V (0.0000, 0.0000, 0.5000)

Output
- DOS(E_F) (states/eV/cell) = 4.64

=====

Material: TbYLu2
Method: DFT, PBE-GGA
State: optimized geometry

Cell lengths 7.9280, 7.9280, 7.9280 Å; angles 90.00, 90.00, 90.00 degrees
Element x y z (fractional)
Tb (0.0000, 0.0000, 0.0000)
Tb (0.0000, 0.5000, 0.5000)
Tb (0.5000, 0.0000, 0.5000)
Tb (0.5000, 0.5000, 0.0000)
Y (0.0000, 0.0000, 0.5000)
Y (0.0000, 0.5000, 0.0000)
Y (0.5000, 0.0000, 0.0000)
Y (0.5000, 0.5000, 0.5000)
Lu (0.2500, 0.2500, 0.2500)
Lu (0.2500, 0.2500, 0.7500)
Lu (0.2500, 0.7500, 0.2500)
Lu (0.2500, 0.7500, 0.7500)
Lu (0.7500, 0.2500, 0.2500)
Lu (0.7500, 0.2500, 0.7500)
Lu (0.7500, 0.7500, 0.2500)
Lu (0.7500, 0.7500, 0.7500)

Output
- DOS(E_F) (states/eV/cell) = 31.08

=====

Material: TbYLu
Method: DFT, PBE-GGA
State: optimized geometry

Cell lengths 3.5256, 3.5256, 15.0383 Å; angles 90.00, 90.00, 90.00 degrees
Element x y z (fractional)
Tb (0.0000, 0.0000, 0.0000)
Tb (0.5000, 0.5000, 0.5000)
Y (0.0000, 0.0000, 0.6695)
Y (0.5000, 0.5000, 0.1695)
Lu (0.0000, 0.0000, 0.3358)
Lu (0.5000, 0.5000, 0.8358)

Output
- DOS(E_F) (states/eV/cell) = 8.58

=====

Material: TbYLu
Method: DFT, PBE-GGA
State: optimized geometry

Cell lengths 5.5705, 5.5705, 3.4789 Å; angles 90.00, 90.00, 120.00 degrees
Element x y z (fractional)
Tb (0.0000, 0.0000, 0.0000)
Y (0.6667, 0.3333, 0.5000)
Lu (0.3333, 0.6667, 0.0000)

Output
- DOS(E_F) (states/eV/cell) = 6.16

=====

Material: TbYLu2
Method: DFT, PBE-GGA
State: optimized geometry

Cell lengths 4.9817, 4.9817, 4.9441 Å; angles 90.00, 90.00, 90.00 degrees
Element x y z (fractional)
Tb (0.0000, 0.0000, 0.0000)
Y (0.5000, 0.5000, 0.0000)
Lu (0.0000, 0.5000, 0.5000)
Lu (0.5000, 0.0000, 0.5000)

Output
- DOS(E_F) (states/eV/cell) = 6.24

=====

Material: TbYLu2
Method: DFT, PBE-GGA
State: optimized geometry

Cell lengths 3.5214, 3.5214, 9.9068 Å; angles 90.00, 90.00, 90.00 degrees
Element x y z (fractional)
Tb (0.0000, 0.0000, 0.0000)
Y (0.0000, 0.0000, 0.5000)
Lu (0.5000, 0.5000, 0.2486)
Lu (0.5000, 0.5000, 0.7514)

Output
- DOS(E_F) (states/eV/cell) = 5.83

=====

Material: TbYLuZr
Method: DFT, PBE-GGA
State: optimized geometry

Cell lengths 7.7554, 7.7554, 7.7554 Å; angles 90.00, 90.00, 90.00 degrees
Element x y z (fractional)
Tb (0.0000, 0.0000, 0.0000)
Tb (0.0000, 0.5000, 0.5000)
Tb (0.5000, 0.0000, 0.5000)
Tb (0.5000, 0.5000, 0.0000)
Y (0.2500, 0.2500, 0.7500)
Y (0.2500, 0.7500, 0.2500)
Y (0.7500, 0.2500, 0.2500)
Y (0.7500, 0.7500, 0.7500)
Lu (0.0000, 0.0000, 0.5000)
Lu (0.0000, 0.5000, 0.0000)
Lu (0.5000, 0.0000, 0.0000)
Lu (0.5000, 0.5000, 0.5000)
Zr (0.2500, 0.2500, 0.2500)
Zr (0.2500, 0.7500, 0.7500)
Zr (0.7500, 0.2500, 0.7500)
Zr (0.7500, 0.7500, 0.2500)

Output
- DOS(E_F) (states/eV/cell) = 26.70

=====

Material: Tb2LuZn
Method: DFT, PBE-GGA
State: optimized geometry

Cell lengths 3.4290, 3.4290, 35.1931 Å; angles 90.00, 90.00, 120.00 degrees
Element x y z (fractional)
Tb (0.0000, 0.0000, 0.0874)
Tb (0.0000, 0.0000, 0.9126)
Tb (0.3333, 0.6667, 0.5792)
Tb (0.3333, 0.6667, 0.7541)
Tb (0.6667, 0.3333, 0.2459)
Tb (0.6667, 0.3333, 0.4208)
Lu (0.0000, 0.0000, 0.5000)
Lu (0.3333, 0.6667, 0.1667)
Lu (0.6667, 0.3333, 0.8333)
Zn (0.0000, 0.0000, 0.0000)
Zn (0.3333, 0.6667, 0.6667)
Zn (0.6667, 0.3333, 0.3333)

Output
- DOS(E_F) (states/eV/cell) = 9.15

=====

Material: TbLu2Zn
Method: DFT, PBE-GGA
State: optimized geometry

Cell lengths 3.4956, 3.4956, 30.4583 Å; angles 90.00, 90.00, 120.00 degrees
Element x y z (fractional)
Tb (0.0000, 0.0000, 0.0000)
Tb (0.3333, 0.6667, 0.6667)
Tb (0.6667, 0.3333, 0.3333)
Lu (0.0000, 0.0000, 0.2391)
Lu (0.0000, 0.0000, 0.7609)
Lu (0.3333, 0.6667, 0.4276)
Lu (0.3333, 0.6667, 0.9057)
Lu (0.6667, 0.3333, 0.0943)
Lu (0.6667, 0.3333, 0.5724)
Zn (0.0000, 0.0000, 0.5000)
Zn (0.3333, 0.6667, 0.1667)
Zn (0.6667, 0.3333, 0.8333)

Output
- DOS(E_F) (states/eV/cell) = 10.26

=====

Material: TbLu2Zn
Method: DFT, PBE-GGA
State: optimized geometry

Cell lengths 4.6817, 4.6817, 4.6920 Å; angles 90.00, 90.00, 90.00 degrees
Element x y z (fractional)
Tb (0.0000, 0.0000, 0.0000)
Lu (0.0000, 0.5000, 0.5000)
Lu (0.5000, 0.0000, 0.5000)
Zn (0.5000, 0.5000, 0.0000)

Output
- DOS(E_F) (states/eV/cell) = 5.19

=====

Material: Tb2LuZn
Method: DFT, PBE-GGA
State: optimized geometry

Cell lengths 5.3030, 5.3030, 3.7805 Å; angles 90.00, 90.00, 90.00 degrees
Element x y z (fractional)
Tb (0.0000, 0.5000, 0.0000)
Tb (0.5000, 0.0000, 0.0000)
Lu (0.0000, 0.0000, 0.5000)
Zn (0.5000, 0.5000, 0.5000)

Output
- DOS(E_F) (states/eV/cell) = 4.36

=====

Material: Tb2LuZn
Method: DFT, PBE-GGA
State: optimized geometry

Cell lengths 7.4995, 7.4995, 7.4995 Å; angles 90.00, 90.00, 90.00 degrees
Element x y z (fractional)
Tb (0.2500, 0.2500, 0.2500)
Tb (0.2500, 0.2500, 0.7500)
Tb (0.2500, 0.7500, 0.2500)
Tb (0.2500, 0.7500, 0.7500)
Tb (0.7500, 0.2500, 0.2500)
Tb (0.7500, 0.2500, 0.7500)
Tb (0.7500, 0.7500, 0.2500)
Tb (0.7500, 0.7500, 0.7500)
Lu (0.0000, 0.0000, 0.0000)
Lu (0.0000, 0.5000, 0.5000)
Lu (0.5000, 0.0000, 0.5000)
Lu (0.5000, 0.5000, 0.0000)
Zn (0.0000, 0.0000, 0.5000)
Zn (0.0000, 0.5000, 0.0000)
Zn (0.5000, 0.0000, 0.0000)
Zn (0.5000, 0.5000, 0.5000)

Output
- DOS(E_F) (states/eV/cell) = 15.67

=====

| no. | ΔH_f (0 K) (eV per atom) | total moment (μB/cell) |
| --- | --- | --- |
| 1 | 0.08 | 0.0 |
| 2 | 0.03 | 0.0 |
| 3 | 0.12 | 0.0 |
| 4 | 0.03 | 0.0 |
| 5 | 0.44 | 6.2 |
| 6 | 0.34 | 0.0 |
| 7 | 0.35 | 6.4 |
| 8 | 0.33 | 6.8 |
| 9 | 0.18 | 3.2 |
| 10 | 0.12 | 0.0 |
| 11 | 0.03 | 0.0 |
| 12 | 0.08 | 0.1 |
| 13 | 0.03 | 0.0 |
| 14 | 0.03 | 0.0 |
| 15 | 0.21 | 11.8 |
| 16 | 0.25 | 0.0 |
| 17 | -0.07 | 0.0 |
| 18 | -0.03 | 0.0 |
| 19 | -0.02 | 0.0 |
| 20 | 0.02 | 0.0 |